A relaxed KLaO2F crystal, computed with PBE.

Output
The value obtained for the uncorrected formation energy is -1484 meV per atom. As for the total energy: -5.047 eV/atom. The density comes out at 4389 kg/m³. The calculation puts the spin magnetization at 1.02 μB/cell. Its space group is P4/mmm (123).

Lattice parameters (Å, degrees): 4.4643 4.4643 4.3470 90.00 90.00 90.00
With the nearest neighbours (Å) after each atom.
Atoms (fractional coordinates):
K 0.0000 0.0000 0.0000  2 F 2.17, 4 O 2.23
F 0.0000 0.0000 0.5000  2 K 2.17
O 0.0000 0.5000 0.0000  2 K 2.23
La 0.5000 0.5000 0.5000  8 O 3.12, 4 F 3.16
O 0.5000 0.0000 0.0000  2 K 2.23